Pm5Nd4Sm after structural relaxation, computed with GGA-PBE.

Properties
* total magnetization: 0.00 μB/f.u.
* E_form: 172 meV/atom
* space-group type: No. 129

Cell lengths 5.9120, 10.8215, 10.8227 Å; angles 90.00, 90.00, 90.00 degrees
Fractional positions:
Pm 0.1690 0.8371 0.8371
Pm 0.1690 0.1629 0.8371
Pm 0.9999 0.5000 0.0000
Pm 0.1690 0.8371 0.1629
Pm 0.1690 0.1629 0.1629
Pm 0.8310 0.6629 0.3371
Pm 0.8310 0.3371 0.3371
Pm 0.0001 0.0000 0.5000
Pm 0.8310 0.3371 0.6629
Pm 0.8310 0.6629 0.6629
Nd 0.6344 0.0000 0.7048
Nd 0.6344 0.7048 0.0000
Nd 0.6344 0.2952 0.0000
Nd 0.6344 0.0000 0.2952
Nd 0.3656 0.5000 0.2048
Nd 0.3656 0.7952 0.5000
Nd 0.3656 0.2048 0.5000
Nd 0.3656 0.5000 0.7952
Sm 0.6353 0.0000 0.0000
Sm 0.3647 0.5000 0.5000


RhSeCl2 after structural relaxation, computed with GGA-PBE.

Properties
* electronic total energy: -14.53 eV/f.u.
* total magnetization: 0.00 μB/f.u.
* space-group type: No. 71

Cell lengths 7.0253, 7.0253, 7.0253 Å; angles 154.92, 139.31, 48.40 degrees
Fractional positions:
Rh 0.2500 0.7500 0.5000
Se 0.7500 0.2500 0.5000
Cl 0.1065 0.1065 0.0000
Cl 0.3935 0.3935 0.0000


LiCu3Se2 after structural relaxation, computed with GGA-PBE.

Properties
* electronic total energy: -23.33 eV/f.u.
* total magnetization: 0.00 μB/f.u.
* space-group type: No. 12

Cell lengths 3.8578, 7.8613, 8.5111 Å; angles 123.63, 90.00, 104.20 degrees
Fractional positions:
Li 0.8779 0.7559 0.8887
Li 0.1221 0.2441 0.1113
Cu 0.4014 0.8027 0.4502
Cu 0.0447 0.0894 0.6914
Cu 0.6788 0.3575 0.9173
Cu 0.3212 0.6425 0.0827
Cu 0.9553 0.9106 0.3086
Cu 0.5986 0.1973 0.5498
Se 0.4828 0.9655 0.7887
Se 0.5172 0.0345 0.2113
Se 0.7789 0.5577 0.2646
Se 0.2211 0.4423 0.7354